The following is a DFT calculation (SCAN) of a crystal of LaCu relaxed with PBEsol.

Computed properties:
formation energy from the elements: -97 meV/atom
space group: Imma (74)

Cell lengths 6.0626, 6.0626, 6.0626 Å; angles 145.56, 135.82, 57.19 degrees
Closest atoms and distances in Å follow each position.
Element x y z (fractional)
La: 0.3477 0.0977 0.2500  6 Cu 3.01-3.35, 2 La 3.09
La: 0.6523 0.9023 0.7500  6 Cu 3.01-3.35, 2 La 3.09
Cu: 0.0788 0.3288 0.7500  2 Cu 2.46
Cu: 0.9212 0.6712 0.2500  2 Cu 2.46